The following is a DFT calculation (PBE+U) of an optimized crystal structure of HfCrIn2O6.

E_tot: -7.3642 eV/atom
SG: P1
total magnetization: 4.00 μB per formula unit

Lattice parameters (Å, degrees): 5.378 5.608 5.967 59.19 62.35 60.70
Fractional positions:
Hf (0.319, 0.315, 0.060)
O (0.590, 0.203, 0.274)
O (0.205, 0.931, 0.258)
O (0.427, 0.703, 0.766)
O (0.939, 0.595, 0.223)
O (0.112, 0.426, 0.757)
O (0.690, 0.138, 0.772)
Cr (0.814, 0.815, 0.558)
In (0.526, 0.516, 0.427)
In (0.040, 0.018, 0.919)